This record from Alexandria via LeMat-Bulk describes crystalline LaSmAg at its relaxed geometry. The functional is PBE-GGA.

```
data_LaSmAg
_cell_length_a 3.7897
_cell_length_b 5.1482
_cell_length_c 5.1482
_cell_angle_alpha 120.00
_cell_angle_beta 90.00
_cell_angle_gamma 90.00
_symmetry_space_group_name_H-M 'P 1'
_symmetry_Int_Tables_number 1
loop_
_symmetry_equiv_pos_as_xyz
'x,y,z'
loop_
_atom_site_label
_atom_site_fract_x
_atom_site_fract_y
_atom_site_fract_z
Ag1 0.3670 0.3333 0.6667
Sm1 0.6088 0.6667 0.3333
La1 0.0241 0.0000 0.0000
```

Summary:
DOS(E_F) in states/eV per cell: 3.05
ΔH_f (0 K) in meV per atom: -30
Energy above the lowest structure with this stoichiometry in eV/atom: 0.123
Theoretical density in g/cm³: 7.6